(1)
! Sr4NiAg, optimized geometry, DFT GGA-PBEsol; values from VASP
! ΔH_f (0 K) = 0.94 eV per atom
&SYSTEM
  ibrav = 0, nat = 6, ntyp = 3
/
ATOMIC_SPECIES
Sr 87.62 Sr.upf
Ni 58.69 Ni.upf
Ag 107.87 Ag.upf
CELL_PARAMETERS angstrom
0.0000 4.7339 4.7339
4.7339 0.0000 4.7339
4.7339 4.7339 0.0000
ATOMIC_POSITIONS angstrom
Sr 1.1870 1.1870 1.1870
Sr 3.5469 3.5469 1.1870
Sr 3.5469 1.1870 3.5469
Sr 1.1870 3.5469 3.5469
Ni 4.7339 4.7339 4.7339
Ag 7.1009 7.1009 7.1009

---

(2)
! SrNi3Ag, optimized geometry, DFT GGA-PBEsol; values from VASP
! ΔH_f (0 K) = 1.81 eV per atom
&SYSTEM
  ibrav = 0, nat = 5, ntyp = 3
/
ATOMIC_SPECIES
Sr 87.62 Sr.upf
Ni 58.69 Ni.upf
Ag 107.87 Ag.upf
CELL_PARAMETERS angstrom
4.5979 0.0000 0.0000
0.0000 4.5979 0.0000
0.0000 0.0000 4.5979
ATOMIC_POSITIONS angstrom
Sr 0.0000 0.0000 0.0000
Ni 0.0000 0.0000 2.2990
Ni 0.0000 2.2990 0.0000
Ni 2.2990 0.0000 0.0000
Ag 2.2990 2.2990 2.2990